VASP calculation (PBE-GGA) on a relaxed structure of Sm12Y7Sc.

```
Sm12Y7Sc
1.0
9.391 5.422 2.237
-9.391 5.422 2.237
0.000 -10.844 2.237
Sm Y Sc
12 7 1
Cartesian
-1.978 -3.438 1.987 Sm
-5.108 2.214 2.742 Sm
-4.471 -3.317 3.969 Sm
0.637 -5.531 2.742 Sm
-1.989 3.432 1.987 Sm
-3.967 -0.006 4.724 Sm
3.967 0.006 1.987 Sm
1.989 -3.432 4.724 Sm
-0.637 5.531 3.969 Sm
4.471 3.317 2.742 Sm
5.108 -2.214 3.969 Sm
1.978 3.438 4.724 Sm
-2.788 0.132 1.384 Y
1.279 -2.480 1.384 Y
1.509 2.348 1.384 Y
0.000 0.000 3.356 Y
-1.509 -2.348 5.327 Y
-1.279 2.480 5.327 Y
2.788 -0.133 5.327 Y
0.000 0.000 0.000 Sc
```

## Properties
**Offset from the most stable computed form**: 168 meV per atom
**Space-group type**: R-3 (148)
**DFT formation energy**: 0.278 eV/atom
**V**: 683.5 Å³/cell
**Total energy**: -102.7 eV/f.u.